# 1
{"formula": "AcPr5Er6", "functional": "PBE-GGA", "state": "optimized geometry", "cell": [[-0.837, -3.696, -5.051], [5.014, -4.866, 4.052], [-5.781, -3.217, 4.633]], "species": ["Er", "Er", "Er", "Er", "Er", "Er", "Ac", "Pr", "Pr", "Pr", "Pr", "Pr"], "fractional_positions": [[0.749, 0.916, 0.581], [0.251, 0.419, 0.084], [0.251, 0.084, 0.419], [0.747, 0.251, 0.251], [0.749, 0.581, 0.916], [0.253, 0.749, 0.749], [0.000, 0.000, 0.000], [0.500, 0.170, 0.830], [0.000, 0.335, 0.665], [0.500, 0.500, 0.500], [0.500, 0.830, 0.170], [0.000, 0.665, 0.335]], "total_energy_ev_per_atom": -4.5868}

***

# 2
{"formula": "TbNd2I8", "functional": "PBE-GGA", "state": "optimized geometry", "cell": [[-5.782, -0.689, -3.152], [1.694, -9.692, -1.083], [-3.650, -5.034, 7.702]], "species": ["Nd", "Nd", "I", "I", "I", "I", "I", "I", "I", "I", "Tb"], "fractional_positions": [[0.697, 0.808, 0.808], [0.303, 0.192, 0.192], [0.249, 0.869, 0.280], [0.218, 0.827, 0.827], [0.249, 0.280, 0.869], [0.751, 0.131, 0.720], [0.782, 0.173, 0.173], [0.743, 0.628, 0.628], [0.257, 0.372, 0.372], [0.751, 0.720, 0.131], [0.000, 0.000, 0.000]], "e_form_raw_ev_per_atom": -1.224}

***

# 3
{"formula": "BaCeAgHg", "functional": "PBE-GGA", "state": "optimized geometry", "cell": [[5.617, 0.000, 0.000], [2.808, 4.864, 0.000], [2.808, 1.621, 4.586]], "species": ["Ag", "Hg", "Ba", "Ce"], "fractional_positions": [[0.250, 0.250, 0.250], [0.750, 0.750, 0.750], [0.500, 0.500, 0.500], [0.000, 0.000, 0.000]], "total_energy_ev_per_atom": -2.9024}

***

| no. | calculated volume (Å³/cell) | magnetization (μB per cell) |
| --- | --- | --- |
| 1 | 403.9 | 0.0 |
| 2 | 607.8 | 1.0 |
| 3 | 125.3 | 1.2 |